Material: Na3OsRh3O8
Method: DFT, PBE-GGA
State: relaxed

a b c (Å): 6.442 6.442 6.442
angles (deg): 58.61 58.61 58.61
Sites, in units of the cell vectors:
Na 0.000 0.500 0.500
Na 0.500 0.000 0.500
Na 0.500 0.500 0.000
Os 0.500 0.500 0.500
Rh 0.000 0.000 0.500
Rh 0.000 0.500 0.000
Rh 0.500 0.000 0.000
O 0.233 0.233 0.233
O 0.238 0.725 0.725
O 0.275 0.275 0.762
O 0.275 0.762 0.275
O 0.725 0.238 0.725
O 0.725 0.725 0.238
O 0.762 0.275 0.275
O 0.767 0.767 0.767

Properties
Its total magnetization is 0.13 μB/atom. Its total energy is -6.143 eV per atom. The volume is 183.00 Å³/cell. Its crystal system is trigonal. For the calculated density, the calculation gives 6315 kg/m3.

Material: As2SeCl
Method: DFT, PBE-GGA
State: relaxed

a b c (Å): 9.007 3.641 7.025
angles (deg): 90.00 119.47 90.00
Sites, in units of the cell vectors:
As 0.221 0.000 0.342
As 0.279 0.500 0.658
As 0.721 0.500 0.342
As 0.779 0.000 0.658
Se 0.000 0.000 0.500
Se 0.500 0.500 0.500
Cl 0.000 0.500 0.000
Cl 0.500 0.000 0.000

Properties
Its total magnetization is 0.00 μB/atom. Its total energy is -3.606 eV per atom. The energy above the lowest structure with this stoichiometry is 0.74 eV per formula unit. The volume is 200.59 Å³/cell. Its crystal system is monoclinic. For the calculated density, the calculation gives 4375 kg/m3.